(1)
! PdSN2F, optimized geometry, DFT GGA-PBE; values from VASP
&SYSTEM
  ibrav = 0, nat = 5, ntyp = 4
/
ATOMIC_SPECIES
Pd 106.42 Pd.upf
N 14.01 N.upf
S 32.06 S.upf
F 19.00 F.upf
CELL_PARAMETERS angstrom
-1.0477 -2.1525 3.2345
3.8347 -0.0339 1.2196
-0.6294 3.4226 2.0739
ATOMIC_POSITIONS angstrom
Pd 0.0000 0.0000 0.0000
N 1.9173 -0.0169 0.6098
N -0.5239 -1.0763 1.6173
S 1.0788 0.6181 3.2640
F -0.3147 1.7113 1.0369
! * theoretical density: 4.695 g/cm3
! * relative energy among the computed polymorphs: 118 meV/atom
! * E: -4.154 eV per atom
! * total magnetic moment: 1.3 μB/f.u.
! * energy relative to the elements, uncorrected: 1414 meV/atom

---

(2)
! PdSN2F, optimized geometry, DFT GGA-PBE; values from VASP
&SYSTEM
  ibrav = 0, nat = 5, ntyp = 4
/
ATOMIC_SPECIES
Pd 106.42 Pd.upf
F 19.00 F.upf
S 32.06 S.upf
N 14.01 N.upf
CELL_PARAMETERS angstrom
-0.4497 3.3563 1.2147
-2.2019 0.7027 -2.7568
-4.6570 -1.8037 3.2598
ATOMIC_POSITIONS angstrom
Pd -3.6543 1.1276 0.8588
F 0.0000 0.0000 0.0000
S -2.3285 -0.9019 1.6299
N -0.2248 1.6782 0.6073
N -1.1010 0.3514 -1.3784
! * theoretical density: 3.991 g/cm3
! * relative energy among the computed polymorphs: 854 meV/atom
! * E: -3.418 eV per atom
! * total magnetic moment: 4.4 μB/f.u.
! * energy relative to the elements, uncorrected: 2150 meV/atom

---

(3)
! SbPdN2F, optimized geometry, DFT GGA-PBE; values from VASP
&SYSTEM
  ibrav = 0, nat = 5, ntyp = 4
/
ATOMIC_SPECIES
Pd 106.42 Pd.upf
Sb 121.76 Sb.upf
N 14.01 N.upf
F 19.00 F.upf
CELL_PARAMETERS angstrom
4.0634 0.0000 0.0000
0.0000 4.0634 0.0000
0.0000 0.0000 4.0574
ATOMIC_POSITIONS angstrom
Pd 2.0317 2.0317 2.0287
Sb 0.0000 0.0000 0.0000
N 0.0000 2.0317 0.0000
F 0.0000 0.0000 2.0287
N 2.0317 0.0000 0.0000
! * theoretical density: 6.821 g/cm3
! * relative energy among the computed polymorphs: 0 meV/atom
! * E: -4.857 eV per atom
! * total magnetic moment: 0.0 μB/f.u.
! * energy relative to the elements, uncorrected: 710 meV/atom

---

(4)
! SbPdN2F, optimized geometry, DFT GGA-PBE; values from VASP
&SYSTEM
  ibrav = 0, nat = 5, ntyp = 4
/
ATOMIC_SPECIES
F 19.00 F.upf
Sb 121.76 Sb.upf
N 14.01 N.upf
Pd 106.42 Pd.upf
CELL_PARAMETERS angstrom
4.0676 0.0000 0.0000
0.0000 4.0676 0.0000
0.0000 0.0000 4.0642
ATOMIC_POSITIONS angstrom
F 0.0000 0.0000 2.0321
Sb 2.0338 2.0338 2.0321
N 0.0000 2.0338 0.0000
Pd 0.0000 0.0000 0.0000
N 2.0338 0.0000 0.0000
! * theoretical density: 6.796 g/cm3
! * relative energy among the computed polymorphs: 98 meV/atom
! * E: -4.759 eV per atom
! * total magnetic moment: 0.2 μB/f.u.
! * energy relative to the elements, uncorrected: 808 meV/atom

---

(5)
! ScPdN2F, optimized geometry, DFT GGA-PBE; values from VASP
&SYSTEM
  ibrav = 0, nat = 5, ntyp = 4
/
ATOMIC_SPECIES
F 19.00 F.upf
Sc 44.96 Sc.upf
N 14.01 N.upf
Pd 106.42 Pd.upf
CELL_PARAMETERS angstrom
-2.5368 2.5412 2.2091
1.3203 -1.7937 3.5795
2.8606 2.6280 0.2618
ATOMIC_POSITIONS angstrom
F 1.4303 1.3140 0.1309
Sc 0.0000 0.0000 0.0000
N 0.6602 -0.8969 1.7898
Pd 0.8220 1.6878 3.0252
N -1.2684 1.2706 1.1046
! * theoretical density: 4.761 g/cm3
! * relative energy among the computed polymorphs: 0 meV/atom
! * E: -5.988 eV per atom
! * total magnetic moment: 0.4 μB/f.u.
! * energy relative to the elements, uncorrected: 21 meV/atom

---

(6)
! ScPdN2F, optimized geometry, DFT GGA-PBE; values from VASP
&SYSTEM
  ibrav = 0, nat = 5, ntyp = 4
/
ATOMIC_SPECIES
Pd 106.42 Pd.upf
F 19.00 F.upf
Sc 44.96 Sc.upf
N 14.01 N.upf
CELL_PARAMETERS angstrom
3.9665 0.0000 0.0000
0.0000 3.9665 0.0000
0.0000 0.0000 4.0578
ATOMIC_POSITIONS angstrom
Pd 0.0000 0.0000 0.0000
F 0.0000 0.0000 2.0289
Sc 1.9833 1.9833 2.0289
N 0.0000 1.9833 0.0000
N 1.9833 0.0000 0.0000
! * theoretical density: 5.160 g/cm3
! * relative energy among the computed polymorphs: 110 meV/atom
! * E: -5.879 eV per atom
! * total magnetic moment: 0.0 μB/f.u.
! * energy relative to the elements, uncorrected: 131 meV/atom

---

(7)
! PdSeN2F, optimized geometry, DFT GGA-PBE; values from VASP
&SYSTEM
  ibrav = 0, nat = 5, ntyp = 4
/
ATOMIC_SPECIES
Pd 106.42 Pd.upf
Se 78.96 Se.upf
F 19.00 F.upf
N 14.01 N.upf
CELL_PARAMETERS angstrom
3.9612 0.0000 0.0000
0.0000 3.9612 0.0000
0.0000 0.0000 4.3097
ATOMIC_POSITIONS angstrom
Pd 1.9806 1.9806 2.1548
Se 0.0000 0.0000 2.1548
F 0.0000 0.0000 0.0000
N 1.9806 0.0000 0.0000
N 0.0000 1.9806 0.0000
! * theoretical density: 5.707 g/cm3
! * relative energy among the computed polymorphs: 889 meV/atom
! * E: -3.342 eV per atom
! * total magnetic moment: 2.9 μB/f.u.
! * energy relative to the elements, uncorrected: 2098 meV/atom

---

(8)
! Pd2SeNF, optimized geometry, DFT GGA-PBE; values from VASP
&SYSTEM
  ibrav = 0, nat = 5, ntyp = 4
/
ATOMIC_SPECIES
Se 78.96 Se.upf
Pd 106.42 Pd.upf
F 19.00 F.upf
N 14.01 N.upf
CELL_PARAMETERS angstrom
-1.4888 3.8320 -0.7206
-3.2624 -0.8825 2.0476
1.8247 1.3664 3.4962
ATOMIC_POSITIONS angstrom
Se -1.4633 2.1580 2.4116
Pd 0.9123 0.6832 1.7481
F -1.6312 -0.4412 1.0238
N 0.0000 0.0000 0.0000
Pd -0.7444 1.9160 -0.3603
! * theoretical density: 7.835 g/cm3
! * E: -4.521 eV per atom
! * total magnetic moment: 0.0 μB/f.u.
! * energy relative to the elements, uncorrected: 292 meV/atom

---

(9)
! PdSe2NF, optimized geometry, DFT GGA-PBE; values from VASP
&SYSTEM
  ibrav = 0, nat = 5, ntyp = 4
/
ATOMIC_SPECIES
N 14.01 N.upf
Pd 106.42 Pd.upf
Se 78.96 Se.upf
F 19.00 F.upf
CELL_PARAMETERS angstrom
-2.5937 -3.2497 3.1527
3.9977 0.0620 3.3529
-1.4891 2.8597 1.7225
ATOMIC_POSITIONS angstrom
N -0.7446 1.4298 0.8613
Pd 0.0000 0.0000 0.0000
Se 1.9988 0.0310 1.6765
Se -1.2969 -1.6248 1.5763
F -0.0426 -0.1640 4.1141
! * theoretical density: 4.961 g/cm3
! * relative energy among the computed polymorphs: 0 meV/atom
! * E: -3.655 eV per atom
! * total magnetic moment: 2.8 μB/f.u.
! * energy relative to the elements, uncorrected: 817 meV/atom

---

(10)
! PdSeN2F, optimized geometry, DFT GGA-PBE; values from VASP
&SYSTEM
  ibrav = 0, nat = 5, ntyp = 4
/
ATOMIC_SPECIES
N 14.01 N.upf
F 19.00 F.upf
Se 78.96 Se.upf
Pd 106.42 Pd.upf
CELL_PARAMETERS angstrom
3.9453 0.0000 0.0000
0.0000 3.9453 0.0000
0.0000 0.0000 3.9785
ATOMIC_POSITIONS angstrom
N 1.9726 0.0000 0.0000
F 0.0000 0.0000 1.9892
Se 0.0000 0.0000 0.0000
N 0.0000 1.9726 0.0000
Pd 1.9726 1.9726 1.9892
! * theoretical density: 6.232 g/cm3
! * relative energy among the computed polymorphs: 27 meV/atom
! * E: -4.205 eV per atom
! * total magnetic moment: 0.0 μB/f.u.
! * energy relative to the elements, uncorrected: 1235 meV/atom

---

(11)
! PdSeN2F, optimized geometry, DFT GGA-PBE; values from VASP
&SYSTEM
  ibrav = 0, nat = 5, ntyp = 4
/
ATOMIC_SPECIES
Se 78.96 Se.upf
F 19.00 F.upf
N 14.01 N.upf
Pd 106.42 Pd.upf
CELL_PARAMETERS angstrom
-3.8829 -0.3878 1.0615
1.0615 -2.5545 2.9499
0.3876 3.1106 2.5543
ATOMIC_POSITIONS angstrom
Se -1.2169 0.0842 3.2828
F 0.1938 1.5553 1.2771
N -1.9415 -0.1939 0.5307
N 0.5308 -1.2773 1.4749
Pd 0.0000 0.0000 0.0000
! * theoretical density: 5.835 g/cm3
! * relative energy among the computed polymorphs: 0 meV/atom
! * E: -4.232 eV per atom
! * total magnetic moment: 0.9 μB/f.u.
! * energy relative to the elements, uncorrected: 1208 meV/atom

---

(12)
! PdSe2NF, optimized geometry, DFT GGA-PBE; values from VASP
&SYSTEM
  ibrav = 0, nat = 5, ntyp = 4
/
ATOMIC_SPECIES
Se 78.96 Se.upf
F 19.00 F.upf
Pd 106.42 Pd.upf
N 14.01 N.upf
CELL_PARAMETERS angstrom
4.6042 0.0000 0.0000
0.0000 4.6042 0.0000
0.0000 0.0000 3.9340
ATOMIC_POSITIONS angstrom
Se 2.3021 0.0000 0.0000
F 0.0000 0.0000 0.0000
Pd 2.3021 2.3021 1.9670
N 0.0000 0.0000 1.9670
Se 0.0000 2.3021 0.0000
! * theoretical density: 5.921 g/cm3
! * relative energy among the computed polymorphs: 480 meV/atom
! * E: -3.176 eV per atom
! * total magnetic moment: 2.4 μB/f.u.
! * energy relative to the elements, uncorrected: 1296 meV/atom

---

(13)
! PdSeN2F, optimized geometry, DFT GGA-PBE; values from VASP
&SYSTEM
  ibrav = 0, nat = 5, ntyp = 4
/
ATOMIC_SPECIES
Pd 106.42 Pd.upf
F 19.00 F.upf
N 14.01 N.upf
Se 78.96 Se.upf
CELL_PARAMETERS angstrom
-0.6003 0.7141 3.6555
0.8313 -3.5836 0.8366
5.4577 1.4110 0.6206
ATOMIC_POSITIONS angstrom
Pd 0.0000 0.0000 0.0000
F 2.8443 -0.7293 2.5564
N -0.3002 0.3570 1.8278
N 0.4157 -1.7918 0.4183
Se 2.7288 0.7055 0.3103
! * theoretical density: 4.781 g/cm3
! * relative energy among the computed polymorphs: 204 meV/atom
! * E: -4.028 eV per atom
! * total magnetic moment: 0.4 μB/f.u.
! * energy relative to the elements, uncorrected: 1412 meV/atom

---

(14)
! SnPdN2F, optimized geometry, DFT GGA-PBE; values from VASP
&SYSTEM
  ibrav = 0, nat = 5, ntyp = 4
/
ATOMIC_SPECIES
N 14.01 N.upf
Sn 118.71 Sn.upf
Pd 106.42 Pd.upf
F 19.00 F.upf
CELL_PARAMETERS angstrom
-1.7022 3.6616 -0.9416
-2.1752 -0.1039 3.5282
3.0188 1.8963 1.9170
ATOMIC_POSITIONS angstrom
N -1.0876 -0.0520 1.7641
Sn 0.0000 0.0000 0.0000
Pd -0.4293 2.7270 2.2519
F 1.5094 0.9482 0.9585
N -0.8511 1.8308 -0.4708
! * theoretical density: 6.494 g/cm3
! * relative energy among the computed polymorphs: 35 meV/atom
! * E: -4.848 eV per atom
! * total magnetic moment: 0.2 μB/f.u.
! * energy relative to the elements, uncorrected: 696 meV/atom

---

(15)
! SnPdN2F, optimized geometry, DFT GGA-PBE; values from VASP
&SYSTEM
  ibrav = 0, nat = 5, ntyp = 4
/
ATOMIC_SPECIES
N 14.01 N.upf
F 19.00 F.upf
Pd 106.42 Pd.upf
Sn 118.71 Sn.upf
CELL_PARAMETERS angstrom
4.0249 0.0000 0.0000
0.0000 4.0249 0.0000
0.0000 0.0000 4.3543
ATOMIC_POSITIONS angstrom
N 0.0000 2.0124 0.0000
F 0.0000 0.0000 2.1771
N 2.0124 0.0000 0.0000
Pd 0.0000 0.0000 0.0000
Sn 2.0124 2.0124 2.1771
! * theoretical density: 6.407 g/cm3
! * relative energy among the computed polymorphs: 0 meV/atom
! * E: -4.883 eV per atom
! * total magnetic moment: 1.9 μB/f.u.
! * energy relative to the elements, uncorrected: 660 meV/atom

---

(16)
! SrPdN2F, optimized geometry, DFT GGA-PBE; values from VASP
&SYSTEM
  ibrav = 0, nat = 5, ntyp = 4
/
ATOMIC_SPECIES
F 19.00 F.upf
N 14.01 N.upf
Pd 106.42 Pd.upf
Sr 87.62 Sr.upf
CELL_PARAMETERS angstrom
5.0397 0.0000 0.0000
0.0000 5.0397 0.0000
0.0000 0.0000 4.5256
ATOMIC_POSITIONS angstrom
F 0.0000 0.0000 2.2628
N 2.5199 0.0000 0.0000
Pd 2.5199 2.5199 2.2628
Sr 0.0000 0.0000 0.0000
N 0.0000 2.5199 0.0000
! * theoretical density: 3.482 g/cm3
! * relative energy among the computed polymorphs: 1162 meV/atom
! * E: -4.157 eV per atom
! * total magnetic moment: 5.0 μB/f.u.
! * energy relative to the elements, uncorrected: 923 meV/atom

---

(17)
! SrPdN2F, optimized geometry, DFT GGA-PBE; values from VASP
&SYSTEM
  ibrav = 0, nat = 5, ntyp = 4
/
ATOMIC_SPECIES
F 19.00 F.upf
Pd 106.42 Pd.upf
Sr 87.62 Sr.upf
N 14.01 N.upf
CELL_PARAMETERS angstrom
-3.2252 -2.1257 -0.1052
0.6693 -1.1942 3.6135
-2.7177 4.0327 1.8361
ATOMIC_POSITIONS angstrom
F -1.3589 2.0163 0.9181
Pd 0.0000 0.0000 0.0000
Sr -2.6368 0.3564 2.6722
N 0.3346 -0.5971 1.8067
N -1.6126 -1.0628 -0.0526
! * theoretical density: 5.157 g/cm3
! * relative energy among the computed polymorphs: 0 meV/atom
! * E: -5.318 eV per atom
! * total magnetic moment: 1.3 μB/f.u.
! * energy relative to the elements, uncorrected: -239 meV/atom

---

(18)
! SrPdNF2, optimized geometry, DFT GGA-PBE; values from VASP
&SYSTEM
  ibrav = 0, nat = 5, ntyp = 4
/
ATOMIC_SPECIES
Sr 87.62 Sr.upf
F 19.00 F.upf
Pd 106.42 Pd.upf
N 14.01 N.upf
CELL_PARAMETERS angstrom
-4.4586 0.6883 -0.6514
-0.9460 -3.4189 2.8625
-0.0669 3.4836 4.1387
ATOMIC_POSITIONS angstrom
Sr 0.0000 0.0000 0.0000
F -2.2293 0.3441 -0.3257
Pd -2.7357 0.3765 3.1749
F -0.4730 -1.7095 1.4312
N -0.0334 1.7418 2.0694
! * theoretical density: 3.635 g/cm3
! * relative energy among the computed polymorphs: 641 meV/atom
! * E: -4.405 eV per atom
! * total magnetic moment: 3.0 μB/f.u.
! * energy relative to the elements, uncorrected: -616 meV/atom

---

(19)
! SrPdNF2, optimized geometry, DFT GGA-PBE; values from VASP
&SYSTEM
  ibrav = 0, nat = 5, ntyp = 4
/
ATOMIC_SPECIES
Pd 106.42 Pd.upf
F 19.00 F.upf
Sr 87.62 Sr.upf
N 14.01 N.upf
CELL_PARAMETERS angstrom
4.5777 0.0000 0.0000
0.0000 4.5777 0.0000
0.0000 0.0000 3.7921
ATOMIC_POSITIONS angstrom
Pd 0.0000 0.0000 0.0000
F 2.2889 0.0000 0.0000
Sr 2.2889 2.2889 1.8960
N 0.0000 0.0000 1.8960
F 0.0000 2.2889 0.0000
! * theoretical density: 5.141 g/cm3
! * relative energy among the computed polymorphs: 0 meV/atom
! * E: -5.046 eV per atom
! * total magnetic moment: 0.0 μB/f.u.
! * energy relative to the elements, uncorrected: -1257 meV/atom

---

(20)
! TaPdNF2, optimized geometry, DFT GGA-PBE; values from VASP
&SYSTEM
  ibrav = 0, nat = 5, ntyp = 4
/
ATOMIC_SPECIES
F 19.00 F.upf
N 14.01 N.upf
Ta 180.95 Ta.upf
Pd 106.42 Pd.upf
CELL_PARAMETERS angstrom
4.1069 0.0000 0.0000
0.0000 4.1069 0.0000
0.0000 0.0000 4.0109
ATOMIC_POSITIONS angstrom
F 2.0534 0.0000 0.0000
N 0.0000 0.0000 2.0054
F 0.0000 2.0534 0.0000
Ta 0.0000 0.0000 0.0000
Pd 2.0534 2.0534 2.0054
! * theoretical density: 8.330 g/cm3
! * relative energy among the computed polymorphs: 0 meV/atom
! * E: -6.871 eV per atom
! * total magnetic moment: 0.0 μB/f.u.
! * energy relative to the elements, uncorrected: -1049 meV/atom